(1)
## LaTb2Pr3Y6 (PBE)

Data for a relaxed structure of LaTb2Pr3Y6.

a = 6.2830 Å, b = 10.8800 Å, c = 11.9251 Å
α = 90.00°, β = 100.08°, γ = 90.00°
Closest atoms and distances in Å follow each position.
Space group C2/m (No. 12)
Asymmetric unit:
La  0.0000  0.0000  0.0000 [2 per cell]  6 Y 3.59-3.60, 6 Tb 3.63
Tb  0.0000  0.3333  0.0000 [4 per cell]  6 Y 3.59, 3 Tb 3.63, 3 La 3.63
Pr  0.0000  0.1670  0.5000 [4 per cell]  6 Y 3.62, 6 Pr 3.62-3.63
Pr  0.0000  0.5000  0.5000 [2 per cell]  6 Y 3.61-3.62, 6 Pr 3.62-3.63
Y  0.2483  0.5000  0.2486 [4 per cell]  2 Tb 3.59, 1 La 3.60, 3 Pr 3.61-3.62, 6 Y 3.62-3.64
Y  0.2500  0.1672  0.2484 [8 per cell]  2 Tb 3.59, 1 La 3.59, 3 Pr 3.62, 6 Y 3.62-3.64

Output
- density (g/cm3) = 5.85

(2)
## LaTbPrY (PBE)

Data for a relaxed structure of LaTbPrY.

a = 8.2127 Å, b = 8.2127 Å, c = 8.2127 Å
α = 90.00°, β = 90.00°, γ = 90.00°
Closest atoms and distances in Å follow each position.
Space group F-43m (No. 216)
Asymmetric unit:
La  0.0000  0.0000  0.0000 [4 per cell]  4 Tb 3.56, 4 Y 3.56
Tb  0.2500  0.2500  0.2500 [4 per cell]  4 La 3.56, 4 Pr 3.56
Pr  0.0000  0.0000  0.5000 [4 per cell]  4 Y 3.56, 4 Tb 3.56
Y  0.2500  0.2500  0.7500 [4 per cell]  4 La 3.56, 4 Pr 3.56

Output
- density (g/cm3) = 6.33

(3)
## La2TbPr6Y3 (PBE)

Data for a relaxed structure of La2TbPr6Y3.

a = 6.3729 Å, b = 11.0449 Å, c = 12.1035 Å
α = 90.00°, β = 100.12°, γ = 90.00°
Closest atoms and distances in Å follow each position.
Space group C2/m (No. 12)
Asymmetric unit:
La  0.0000  0.1667  0.0000 [4 per cell]  3 La 3.68, 3 Tb 3.68, 6 Pr 3.70
Tb  0.0000  0.5000  0.0000 [2 per cell]  6 La 3.68, 6 Pr 3.69
Pr  0.2478  0.5000  0.7463 [4 per cell]  3 Y 3.62-3.63, 6 Pr 3.67-3.69, 1 Tb 3.69, 2 La 3.70
Pr  0.2493  0.1660  0.7464 [8 per cell]  3 Y 3.62-3.63, 6 Pr 3.67-3.69, 1 Tb 3.69, 2 La 3.70
Y  0.0000  0.0000  0.5000 [2 per cell]  6 Pr 3.62-3.63, 6 Y 3.68-3.69
Y  0.0000  0.3336  0.5000 [4 per cell]  6 Pr 3.62-3.63, 6 Y 3.67-3.69

Output
- density (g/cm3) = 6.13

(4)
## La2Tb2Pr4Y (PBE)

Data for a relaxed structure of La2Tb2Pr4Y.

a = 19.2126 Å, b = 3.7109 Å, c = 9.8434 Å
α = 90.00°, β = 115.71°, γ = 90.00°
Closest atoms and distances in Å follow each position.
Space group C2/m (No. 12)
Asymmetric unit:
La  0.1662  0.0000  0.4981 [4 per cell]  3 Tb 3.63-3.65, 3 Pr 3.64-3.66, 2 Y 3.70, 4 La 3.70-3.71
Tb  0.1486  0.5000  0.1678 [4 per cell]  3 La 3.63-3.65, 7 Pr 3.65-3.69, 2 Tb 3.71
Pr  0.0183  0.0000  0.8358 [4 per cell]  5 Pr 3.59-3.72, 1 La 3.64, 4 Tb 3.65-3.69, 2 Y 3.67
Pr  0.1856  0.5000  0.8331 [4 per cell]  6 Pr 3.65-3.72, 1 Y 3.65, 2 La 3.66, 3 Tb 3.66-3.69
Y  0.0000  0.5000  0.5000 [2 per cell]  6 Pr 3.65-3.67, 4 La 3.70, 2 Y 3.71

Output
- density (g/cm3) = 6.56

| no. | ΔE_f (eV per atom) |
| --- | --- |
| 1 | 0.014 |
| 2 | 0.095 |
| 3 | 0.014 |
| 4 | 0.009 |